# CoC2

Crystalline CoC2 at its relaxed geometry (PBE, the Alexandria database).

abc: 3.268 3.268 4.187
angles: 90.00 90.00 90.00
Space group P4/nmm (No. 129, origin choice 2)
Unique sites:
1 Co 0.250 0.250 0.100 x2
2 C 0.250 0.250 0.639 x2
3 C 0.250 0.750 0.500 x2

**Calculated total energy**: -19.89 eV per formula unit
**Spin magnetization**: 1.23 μB/cell